This record from Alexandria via LeMat-Bulk describes crystalline MgVNi2F at its relaxed geometry. The functional is PBE with a Hubbard U.

D(E_F): 1.00 states/eV/atom
energy: -2.18 eV/atom

The structure in CIF format:
```
data_MgVNi2F
_chemical_formula_sum 'Mg1 V1 Ni2 F1'
_cell_length_a 4.563
_cell_length_b 4.563
_cell_length_c 3.549
_cell_angle_alpha 90.00
_cell_angle_beta 90.00
_cell_angle_gamma 90.00
_symmetry_space_group_name_H-M 'P 4/m m m'
_symmetry_Int_Tables_number 123
_symmetry_space_group_name_Hall '-P 4 2'
loop_
_atom_site_label
_atom_site_type_symbol
_atom_site_fract_x
_atom_site_fract_y
_atom_site_fract_z
Mg1 Mg 0.000 0.000 0.000
V1 V 0.500 0.500 0.500
Ni1 Ni 0.000 0.500 0.000
F1 F 0.000 0.000 0.500
```